Entry 1:
First-principles (PBE) data for crystalline SmGa2Ag3 at its relaxed geometry, as listed in the Alexandria database.

a = 4.4327 Å, b = 8.3340 Å, c = 8.3329 Å
α = 57.26°, β = 74.58°, γ = 74.58°
Last column: nearest neighbours and their distance in Å.
Fractional coordinates of all 12 atoms:
Ag1 0.6706 0.1333 0.5255  3 Ga 2.66-2.73
Ag2 0.6707 0.5256 0.1329  3 Ga 2.66-2.73
Ag3 0.0001 0.3298 0.6701  2 Ga 2.62, 1 Ag 2.72
Ag4 0.3293 0.4744 0.8671  3 Ga 2.66-2.73
Ag5 0.9999 0.6702 0.3299  2 Ga 2.62, 1 Ag 2.72
Ag6 0.3294 0.8667 0.4745  3 Ga 2.66-2.73
Sm1 0.8645 0.1354 0.1356  8 Ag 3.12-3.32, 6 Ga 3.17-3.27
Sm2 0.1355 0.8646 0.8644  8 Ag 3.12-3.32, 6 Ga 3.17-3.27
Ga1 0.8075 0.6924 0.6925  6 Ag 2.73-3.01
Ga2 0.5000 0.8445 0.1555  1 Ga 2.48, 4 Ag 2.62-2.66
Ga3 0.5000 0.1555 0.8445  1 Ga 2.48, 4 Ag 2.62-2.66
Ga4 0.1925 0.3076 0.3075  6 Ag 2.73-3.01

Summary:
size of the total moment: 0.00 μB per formula unit
formation energy from the elements: -0.23 eV per atom
space-group type: Immm
polymorph energy (0 for the lowest one): 49 meV/atom

Entry 2:
First-principles (PBE) data for crystalline BeGaAs2Br at its relaxed geometry, as listed in the Alexandria database.

a = 5.1475 Å, b = 5.1475 Å, c = 5.3612 Å
α = 90.00°, β = 90.00°, γ = 90.00°
Last column: nearest neighbours and their distance in Å.
Fractional coordinates of all 5 atoms:
Ga1 0.0000 0.0000 0.5000  2 Br 2.68
Be1 0.5000 0.5000 0.5000  4 Ga 3.64, 8 As 3.72
As1 0.5000 0.0000 0.0000  2 Br 2.57
As2 0.0000 0.5000 0.0000  2 Br 2.57
Br1 0.0000 0.0000 0.0000  4 As 2.57, 2 Ga 2.68

Summary:
ΔE_f (raw): 644.2 kJ/mol of formula units
size of the total moment: 0.00 μB per formula unit
space-group type: P4/mmm
polymorph energy (0 for the lowest one): 1067 meV/atom

Entry 3:
First-principles (PBE) data for crystalline Sc4CdPdRh2 at its relaxed geometry, as listed in the Alexandria database.

a = 4.6937 Å, b = 4.6937 Å, c = 8.1592 Å
α = 73.28°, β = 73.28°, γ = 60.00°
Last column: nearest neighbours and their distance in Å.
Fractional coordinates of all 8 atoms:
Sc1 0.6203 0.6203 0.1391  1 Pd 2.78, 4 Rh 2.84-2.99, 3 Cd 2.91
Sc2 0.1286 0.1286 0.6142  4 Rh 2.80-2.91, 3 Pd 2.85, 1 Cd 2.97
Sc3 0.3797 0.3797 0.8609  1 Pd 2.78, 4 Rh 2.84-2.99, 3 Cd 2.91
Sc4 0.8714 0.8714 0.3858  4 Rh 2.80-2.91, 3 Pd 2.85, 1 Cd 2.97
Rh1 0.7499 0.7499 0.7502  8 Sc 2.80-2.99
Rh2 0.2501 0.2501 0.2498  8 Sc 2.80-2.99
Cd1 0.0000 0.0000 0.0000  8 Sc 2.91-2.97
Pd1 0.5000 0.5000 0.5000  8 Sc 2.78-2.85

Summary:
size of the total moment: 0.00 μB per formula unit
formation energy from the elements: -0.76 eV per atom
space-group type: R-3m

Q: Which formula does entry 3 have?
A: Sc4CdPdRh2

Q: Look up the size of the total moment of the second one.
A: 0.00 μB per formula unit

Q: Look up the size of the total moment of the second one.
A: 0.00 μB per formula unit